No. 1
# SrTa2Tl

SrTa2Tl at its PBEsol-relaxed geometry (meta-GGA SCAN, the Alexandria database).

Unit cell a=2.9266 b=5.8663 c=5.8663 alpha=118.15 beta=90.00 gamma=90.00
Sites, in units of the cell vectors:
Sr  0.5000  0.5000  0.5000
Ta  0.0000  0.5000  0.0000
Ta  0.0000  0.0000  0.5000
Tl  0.5000  0.0000  0.0000

SG: Cmmm
raw total energy: -55.956 eV/atom
excess energy over the best structure of this formula in the dataset: 478 meV/atom
formation energy: 96 kJ per mole of atoms

=====

No. 2
# SrTaW3

SrTaW3 at its PBEsol-relaxed geometry (meta-GGA SCAN, the Alexandria database).

Unit cell a=4.8791 b=4.8791 c=4.8791 alpha=90.00 beta=90.00 gamma=90.00
Sites, in units of the cell vectors:
Sr  0.5000  0.5000  0.5000
W  0.0000  0.5000  0.0000
W  0.0000  0.0000  0.5000
W  0.5000  0.0000  0.0000
Ta  0.0000  0.0000  0.0000

SG: Pm-3m
raw total energy: -57.590 eV/atom
formation energy: 192 kJ per mole of atoms

=====

No. 3
# SrYTa2

SrYTa2 at its PBEsol-relaxed geometry (meta-GGA SCAN, the Alexandria database).

Unit cell a=3.0849 b=4.8278 c=6.7816 alpha=90.00 beta=90.00 gamma=90.00
Sites, in units of the cell vectors:
Sr  0.5000  0.5000  0.5000
Ta  0.0000  0.0000  0.8047
Ta  0.0000  0.0000  0.1953
Y  0.5000  0.5000  0.0000

SG: Pmmm
raw total energy: -44.980 eV/atom
excess energy over the best structure of this formula in the dataset: 125 meV/atom
formation energy: 81 kJ per mole of atoms